No. 1
The following is a PBE calculation of crystalline Ba2ZrOs at its relaxed geometry, from Alexandria.

The structure in CIF format:
```
data_Ba2ZrOs
_cell_length_a 3.5608
_cell_length_b 3.5608
_cell_length_c 33.3866
_cell_angle_alpha 90.00
_cell_angle_beta 90.00
_cell_angle_gamma 120.00
_space_group_name_H-M_alt 'R -3 m'
_space_group_IT_number 166
_space_group_name_Hall '-R 3 2"'
loop_
_atom_site_label
_atom_site_type_symbol
_atom_site_fract_x
_atom_site_fract_y
_atom_site_fract_z
Ba1 Ba 0.0000 0.0000 0.2363
Zr1 Zr 0.0000 0.0000 0.0000
Os1 Os 0.0000 0.0000 0.5000
```

Calculated values
The value obtained for the energy relative to the elements is 1.168 eV/atom. The value obtained for the excess energy over the best structure of this formula in the dataset is 0.9636 eV/atom. The value obtained for the energy is -4.737 eV per atom.

***

No. 2
The following is a PBE calculation of crystalline YH3Rh at its relaxed geometry, from Alexandria.

The structure in CIF format:
```
data_YH3Rh
_cell_length_a 3.877
_cell_length_b 8.943
_cell_length_c 6.073
_cell_angle_alpha 90.00
_cell_angle_beta 90.00
_cell_angle_gamma 90.00
_space_group_name_H-M_alt 'I m m a'
_space_group_IT_number 74
_space_group_name_Hall '-I 2b 2'
loop_
_atom_site_label
_atom_site_type_symbol
_atom_site_fract_x
_atom_site_fract_y
_atom_site_fract_z
Y1 Y 0.000 0.000 0.000
H1 H 0.000 0.113 0.369
H2 H 0.000 0.250 0.883
Rh1 Rh 0.000 0.250 0.580
```

Calculated values
The value obtained for the energy is -5.245 eV per atom.

***

No. 3
The following is a PBE calculation of crystalline Ti9Tl2Zn at its relaxed geometry, from Alexandria.

The structure in CIF format:
```
data_Ti9Tl2Zn
_cell_length_a 4.131
_cell_length_b 4.131
_cell_length_c 12.340
_cell_angle_alpha 90.00
_cell_angle_beta 90.00
_cell_angle_gamma 90.00
_space_group_name_H-M_alt 'P 4/m m m'
_space_group_IT_number 123
_space_group_name_Hall '-P 4 2'
loop_
_atom_site_label
_atom_site_type_symbol
_atom_site_fract_x
_atom_site_fract_y
_atom_site_fract_z
Ti1 Ti 0.000 0.000 0.000
Ti2 Ti 0.000 0.000 0.329
Ti3 Ti 0.000 0.500 0.156
Ti4 Ti 0.000 0.500 0.500
Tl1 Tl 0.500 0.500 0.328
Zn1 Zn 0.500 0.500 0.000
```

Calculated values
The value obtained for the energy relative to the elements is -0.017 eV/atom. The value obtained for the energy is -6.439 eV per atom.

***

No. 4
The following is a PBE calculation of crystalline KBa2LiSc at its relaxed geometry, from Alexandria.

The structure in CIF format:
```
data_KBa2LiSc
_cell_length_a 6.601
_cell_length_b 6.601
_cell_length_c 5.772
_cell_angle_alpha 90.00
_cell_angle_beta 90.00
_cell_angle_gamma 90.00
_space_group_name_H-M_alt 'P 4/m m m'
_space_group_IT_number 123
_space_group_name_Hall '-P 4 2'
loop_
_atom_site_label
_atom_site_type_symbol
_atom_site_fract_x
_atom_site_fract_y
_atom_site_fract_z
K1 K 0.000 0.000 0.000
Ba1 Ba 0.000 0.500 0.500
Li1 Li 0.500 0.500 0.500
Sc1 Sc 0.500 0.500 0.000
```

Calculated values
The value obtained for the energy relative to the elements is 0.451 eV/atom. The value obtained for the energy is -2.187 eV per atom.

***

No. 5
The following is a PBE calculation of crystalline PmPrCo4 at its relaxed geometry, from Alexandria.

The structure in CIF format:
```
data_PmPrCo4
_cell_length_a 3.899
_cell_length_b 6.764
_cell_length_c 8.426
_cell_angle_alpha 90.00
_cell_angle_beta 90.00
_cell_angle_gamma 90.00
_space_group_name_H-M_alt 'I m m m'
_space_group_IT_number 71
_space_group_name_Hall '-I 2 2'
loop_
_atom_site_label
_atom_site_type_symbol
_atom_site_fract_x
_atom_site_fract_y
_atom_site_fract_z
Pm1 Pm 0.000 0.000 0.000
Pr1 Pr 0.000 0.000 0.500
Co1 Co 0.000 0.333 0.251
```

Calculated values
The value obtained for the energy relative to the elements is -0.073 eV/atom. The value obtained for the excess energy over the best structure of this formula in the dataset is 0.0000 eV/atom. The value obtained for the energy is -6.398 eV per atom.

***

No. 6
The following is a PBE calculation of crystalline InGaCl at its relaxed geometry, from Alexandria.

The structure in CIF format:
```
data_InGaCl
_cell_length_a 3.894
_cell_length_b 4.285
_cell_length_c 6.085
_cell_angle_alpha 110.13
_cell_angle_beta 105.27
_cell_angle_gamma 92.34
_space_group_name_H-M_alt 'P 1'
_space_group_IT_number 1
loop_
_space_group_symop_operation_xyz
'x,y,z'
loop_
_atom_site_label
_atom_site_type_symbol
_atom_site_fract_x
_atom_site_fract_y
_atom_site_fract_z
In1 In 0.000 0.000 0.000
Ga1 Ga 0.532 0.537 0.073
Cl1 Cl 0.654 0.765 0.513
```

Calculated values
The value obtained for the excess energy over the best structure of this formula in the dataset is 0.0176 eV/atom. The value obtained for the energy is -2.934 eV per atom. The calculation puts the raw formation energy at -0.3963 eV/atom.

***

No. 7
The following is a PBE calculation of crystalline Ba3VRh at its relaxed geometry, from Alexandria.

The structure in CIF format:
```
data_Ba3VRh
_cell_length_a 5.984
_cell_length_b 5.984
_cell_length_c 5.984
_cell_angle_alpha 90.00
_cell_angle_beta 90.00
_cell_angle_gamma 90.00
_space_group_name_H-M_alt 'P m -3 m'
_space_group_IT_number 221
_space_group_name_Hall '-P 4 2 3'
loop_
_atom_site_label
_atom_site_type_symbol
_atom_site_fract_x
_atom_site_fract_y
_atom_site_fract_z
Ba1 Ba 0.000 0.000 0.500
V1 V 0.500 0.500 0.500
Rh1 Rh 0.000 0.000 0.000
```

Calculated values
The value obtained for the energy relative to the elements is 0.461 eV/atom. The value obtained for the excess energy over the best structure of this formula in the dataset is 0.0000 eV/atom. The value obtained for the energy is -3.987 eV per atom.

***

No. 8
The following is a PBE calculation of crystalline Rb3TeF at its relaxed geometry, from Alexandria.

The structure in CIF format:
```
data_Rb3TeF
_cell_length_a 7.9379
_cell_length_b 7.9379
_cell_length_c 22.2619
_cell_angle_alpha 90.00
_cell_angle_beta 90.00
_cell_angle_gamma 120.00
_space_group_name_H-M_alt 'R -3'
_space_group_IT_number 148
_space_group_name_Hall '-R 3'
loop_
_atom_site_label
_atom_site_type_symbol
_atom_site_fract_x
_atom_site_fract_y
_atom_site_fract_z
Rb1 Rb 0.0186 0.5895 0.4225
Te1 Te 0.0000 0.0000 0.3747
F1 F 0.0000 0.0000 0.1595
```

Calculated values
The value obtained for the excess energy over the best structure of this formula in the dataset is 0.1415 eV/atom. The value obtained for the energy is -3.121 eV per atom. The calculation puts the raw formation energy at -1.5383 eV/atom.